(1)
Here is a geometry-optimized Cd2Cu2Bi structure from Alexandria. Energies are from PBE.

a = 8.145 Å, b = 8.145 Å, c = 3.017 Å
α = 90.00°, β = 90.00°, γ = 90.00°
Element x y z (fractional)
Bi  0.000  0.000  0.000
Bi  0.500  0.500  0.000
Cu  0.167  0.667  0.500
Cu  0.667  0.833  0.500
Cu  0.833  0.333  0.500
Cu  0.333  0.167  0.500
Cd  0.372  0.872  0.000
Cd  0.872  0.628  0.000
Cd  0.628  0.128  0.000
Cd  0.128  0.372  0.000

Output
- E (eV/atom) = -2.578
- ΔH_f (0 K) (eV/atom) = 0.20
- calculated density (g/cm³) = 9.3
- ΔE to the lowest computed polymorph (meV/atom) = 74
- density of states at the Fermi level (states/eV/atom) = 0.4344

(2)
Here is a geometry-optimized CdCu2Bi structure from Alexandria. Energies are from PBE.

a = 4.775 Å, b = 4.775 Å, c = 4.775 Å
α = 60.00°, β = 60.00°, γ = 60.00°
Element x y z (fractional)
Bi  0.500  0.500  0.500
Cu  0.250  0.250  0.250
Cu  0.750  0.750  0.750
Cd  0.000  0.000  0.000

Output
- E (eV/atom) = -2.981
- ΔH_f (0 K) (eV/atom) = 0.27
- calculated density (g/cm³) = 9.7
- ΔE to the lowest computed polymorph (meV/atom) = 0
- density of states at the Fermi level (states/eV/atom) = 0.6043

(3)
Here is a geometry-optimized CdCuBi structure from Alexandria. Energies are from PBE.

a = 4.229 Å, b = 4.392 Å, c = 4.392 Å
α = 120.00°, β = 90.00°, γ = 90.00°
Element x y z (fractional)
Bi  0.735  0.667  0.333
Cu  0.010  0.000  0.000
Cd  0.254  0.333  0.667

Output
- E (eV/atom) = -2.759
- ΔH_f (0 K) (eV/atom) = 0.21
- calculated density (g/cm³) = 9.0
- density of states at the Fermi level (states/eV/atom) = 0.4381

(4)
Here is a geometry-optimized CdCu2Bi structure from Alexandria. Energies are from PBE.

a = 4.384 Å, b = 4.384 Å, c = 9.452 Å
α = 76.59°, β = 76.59°, γ = 90.00°
Element x y z (fractional)
Bi  0.000  0.000  0.000
Bi  0.750  0.250  0.500
Cu  0.592  0.125  0.250
Cu  0.158  0.625  0.250
Cu  0.375  0.408  0.750
Cu  0.875  0.842  0.750
Cd  0.500  0.500  0.000
Cd  0.250  0.750  0.500

Output
- E (eV/atom) = -2.902
- ΔH_f (0 K) (eV/atom) = 0.34
- calculated density (g/cm³) = 8.7
- ΔE to the lowest computed polymorph (meV/atom) = 78
- density of states at the Fermi level (states/eV/atom) = 0.3986

(5)
Here is a geometry-optimized Cd3CuBi structure from Alexandria. Energies are from PBE.

a = 5.033 Å, b = 5.033 Å, c = 5.033 Å
α = 90.00°, β = 90.00°, γ = 90.00°
Element x y z (fractional)
Bi  0.500  0.500  0.500
Cu  0.000  0.000  0.000
Cd  0.000  0.500  0.000
Cd  0.000  0.000  0.500
Cd  0.500  0.000  0.000

Output
- E (eV/atom) = -1.897
- ΔH_f (0 K) (eV/atom) = 0.25
- calculated density (g/cm³) = 7.9
- ΔE to the lowest computed polymorph (meV/atom) = 0
- density of states at the Fermi level (states/eV/atom) = 0.4702

(6)
Here is a geometry-optimized Cd2Cu2Bi structure from Alexandria. Energies are from PBE.

a = 4.018 Å, b = 4.018 Å, c = 6.918 Å
α = 73.12°, β = 73.12°, γ = 90.00°
Element x y z (fractional)
Bi  0.000  0.000  0.000
Cu  0.404  0.404  0.192
Cu  0.596  0.596  0.808
Cd  0.750  0.250  0.500
Cd  0.250  0.750  0.500

Output
- E (eV/atom) = -2.595
- ΔH_f (0 K) (eV/atom) = 0.19
- calculated density (g/cm³) = 9.1
- ΔE to the lowest computed polymorph (meV/atom) = 57
- density of states at the Fermi level (states/eV/atom) = 0.5193

(7)
Here is a geometry-optimized Cd2CuBi2 structure from Alexandria. Energies are from PBE.

a = 7.175 Å, b = 7.175 Å, c = 4.935 Å
α = 90.00°, β = 90.00°, γ = 90.00°
Element x y z (fractional)
Bi  0.166  0.666  0.500
Bi  0.666  0.834  0.500
Bi  0.834  0.334  0.500
Bi  0.334  0.166  0.500
Cu  0.000  0.000  0.000
Cu  0.500  0.500  0.000
Cd  0.350  0.850  0.000
Cd  0.850  0.650  0.000
Cd  0.650  0.150  0.000
Cd  0.150  0.350  0.000

Output
- E (eV/atom) = -2.486
- ΔH_f (0 K) (eV/atom) = 0.25
- calculated density (g/cm³) = 9.2
- ΔE to the lowest computed polymorph (meV/atom) = 30
- density of states at the Fermi level (states/eV/atom) = 0.6324

(8)
Here is a geometry-optimized Cd2Cu2Bi structure from Alexandria. Energies are from PBE.

a = 7.694 Å, b = 7.694 Å, c = 3.362 Å
α = 90.00°, β = 90.00°, γ = 90.00°
Element x y z (fractional)
Bi  0.000  0.000  0.000
Bi  0.500  0.500  0.000
Cu  0.377  0.877  0.000
Cu  0.877  0.623  0.000
Cu  0.623  0.123  0.000
Cu  0.123  0.377  0.000
Cd  0.166  0.666  0.500
Cd  0.666  0.834  0.500
Cd  0.834  0.334  0.500
Cd  0.334  0.166  0.500

Output
- E (eV/atom) = -2.624
- ΔH_f (0 K) (eV/atom) = 0.16
- calculated density (g/cm³) = 9.4
- ΔE to the lowest computed polymorph (meV/atom) = 28
- density of states at the Fermi level (states/eV/atom) = 0.4336